1.
## LaZnGe3 (GGA-PBE)

Data for a relaxed structure of LaZnGe3.

**Mass density**: 6.00 Mg/m³
**Energy of formation from the pure elements**: -0.02 eV per atom
**Space-group type**: No. 221
**Volume**: 116.8 Å³ per cell
**Magnetization**: 0.0 μB/cell
**Crystal system**: cubic
**E_tot**: -4.0294 eV per atom

abc: 4.888 4.888 4.888
angles: 90.00 90.00 90.00
Sites, in units of the cell vectors:
Ge 0.000 0.500 0.000
Ge 0.000 0.000 0.500
Ge 0.500 0.000 0.000
Zn 0.000 0.000 0.000
La 0.500 0.500 0.500



2.
## Sm2Dy6HoTm (GGA-PBE)

Data for a relaxed structure of Sm2Dy6HoTm.

**Mass density**: 8.32 Mg/m³
**Energy of formation from the pure elements**: 0.12 eV per atom
**Space-group type**: No. 15
**Volume**: 642.2 Å³ per cell
**Magnetization**: 0.0 μB/cell
**Crystal system**: monoclinic
**E_tot**: -4.4933 eV per atom

abc: 9.615 8.750 8.750
angles: 118.09 94.39 94.39
Sites, in units of the cell vectors:
Sm 0.457 0.804 0.701
Sm 0.043 0.299 0.196
Sm 0.543 0.196 0.299
Sm 0.957 0.701 0.804
Dy 0.057 0.125 0.748
Dy 0.443 0.252 0.875
Dy 0.943 0.875 0.252
Dy 0.557 0.748 0.125
Dy 0.313 0.981 0.426
Dy 0.187 0.574 0.019
Dy 0.687 0.019 0.574
Dy 0.813 0.426 0.981
Dy 0.120 0.709 0.498
Dy 0.380 0.502 0.291
Dy 0.880 0.291 0.502
Dy 0.620 0.498 0.709
Ho 0.250 0.980 0.020
Ho 0.750 0.020 0.980
Tm 0.250 0.408 0.592
Tm 0.750 0.592 0.408



3.
## RbPrEu2 (GGA-PBE)

Data for a relaxed structure of RbPrEu2.

**Mass density**: 4.64 Mg/m³
**Energy of formation from the pure elements**: 0.19 eV per atom
**Space-group type**: No. 166
**Volume**: 189.6 Å³ per cell
**Distance to the lowest polymorph of the same formula**: 29 meV/atom
**Magnetization**: 15.9 μB/cell
**Crystal system**: trigonal
**E_tot**: -6.3809 eV per atom

abc: 3.914 3.914 14.469
angles: 82.23 82.23 60.00
Sites, in units of the cell vectors:
Eu 0.095 0.095 0.715
Eu 0.905 0.905 0.285
Pr 0.500 0.500 0.500
Rb 0.000 0.000 0.000



4.
## LaMgPd3 (GGA-PBE)

Data for a relaxed structure of LaMgPd3.

**Mass density**: 7.76 Mg/m³
**Energy of formation from the pure elements**: -0.64 eV per atom
**Space-group type**: No. 194
**Volume**: 206.4 Å³ per cell
**Distance to the lowest polymorph of the same formula**: 0 meV/atom
**Magnetization**: 0.0 μB/cell
**Crystal system**: hexagonal
**E_tot**: -5.0601 eV per atom

abc: 6.166 6.218 6.218
angles: 120.01 90.00 90.00
Sites, in units of the cell vectors:
La 0.750 0.667 0.333
La 0.250 0.333 0.667
Mg 0.000 0.000 0.000
Mg 0.500 0.000 0.000
Pd 0.750 0.621 0.811
Pd 0.250 0.811 0.621
Pd 0.250 0.379 0.189
Pd 0.750 0.189 0.379
Pd 0.250 0.811 0.189
Pd 0.750 0.189 0.811



5.
## ScBiHRh2 (GGA-PBE)

Data for a relaxed structure of ScBiHRh2.

**Mass density**: 10.34 Mg/m³
**Space-group type**: No. 123
**Volume**: 74.0 Å³ per cell
**Magnetization**: 0.0 μB/cell
**Crystal system**: tetragonal
**E_tot**: -6.0665 eV per atom

abc: 4.194 4.194 4.206
angles: 90.00 90.00 90.00
Sites, in units of the cell vectors:
Sc 0.000 0.000 0.500
H 0.000 0.000 0.000
Rh 0.000 0.500 0.000
Rh 0.500 0.000 0.000
Bi 0.500 0.500 0.500



6.
## La2Si2BRu2 (GGA-PBE)

Data for a relaxed structure of La2Si2BRu2.

**Mass density**: 6.64 Mg/m³
**Space-group type**: No. 12
**Volume**: 136.7 Å³ per cell
**Magnetization**: 0.0 μB/cell
**Crystal system**: monoclinic
**E_tot**: -7.3150 eV per atom
**Formation energy without anion corrections**: -754 meV/atom

abc: 4.273 6.104 6.064
angles: 74.26 69.37 69.51
Sites, in units of the cell vectors:
La 0.563 0.179 0.695
La 0.437 0.821 0.305
Si 0.174 0.389 0.262
Si 0.826 0.611 0.738
B 0.000 0.000 0.000
Ru 0.207 0.683 0.903
Ru 0.793 0.317 0.097



7.
## Pm4Al2TlAg (GGA-PBE)

Data for a relaxed structure of Pm4Al2TlAg.

**Mass density**: 7.31 Mg/m³
**Energy of formation from the pure elements**: -0.31 eV per atom
**Space-group type**: No. 166
**Volume**: 214.8 Å³ per cell
**Magnetization**: 0.0 μB/cell
**Crystal system**: trigonal
**E_tot**: -4.2756 eV per atom

abc: 5.319 5.319 9.292
angles: 73.37 73.37 60.00
Sites, in units of the cell vectors:
Pm 0.378 0.378 0.865
Pm 0.872 0.872 0.385
Pm 0.128 0.128 0.615
Pm 0.622 0.622 0.135
Al 0.750 0.750 0.750
Al 0.250 0.250 0.250
Tl 0.000 0.000 0.000
Ag 0.500 0.500 0.500



8.
## Tb15CeHo4 (GGA-PBE)

Data for a relaxed structure of Tb15CeHo4.

**Mass density**: 8.33 Mg/m³
**Energy of formation from the pure elements**: 0.03 eV per atom
**Space-group type**: No. 123
**Volume**: 634.5 Å³ per cell
**Magnetization**: 0.9 μB/cell
**Crystal system**: tetragonal
**E_tot**: -4.6572 eV per atom

abc: 5.025 5.025 25.125
angles: 90.00 90.00 90.00
Sites, in units of the cell vectors:
Tb 0.500 0.500 0.000
Tb 0.500 0.500 0.201
Tb 0.500 0.500 0.400
Tb 0.500 0.500 0.600
Tb 0.500 0.500 0.799
Tb 0.500 0.000 0.099
Tb 0.500 0.000 0.300
Tb 0.500 0.000 0.500
Tb 0.500 0.000 0.700
Tb 0.500 0.000 0.901
Tb 0.000 0.500 0.099
Tb 0.000 0.500 0.300
Tb 0.000 0.500 0.500
Tb 0.000 0.500 0.700
Tb 0.000 0.500 0.901
Ce 0.000 0.000 0.000
Ho 0.000 0.000 0.199
Ho 0.000 0.000 0.400
Ho 0.000 0.000 0.600
Ho 0.000 0.000 0.801



9.
## YEr3Co2 (GGA-PBE)

Data for a relaxed structure of YEr3Co2.

**Mass density**: 8.13 Mg/m³
**Energy of formation from the pure elements**: -0.17 eV per atom
**Space-group type**: No. 12
**Volume**: 289.3 Å³ per cell
**Distance to the lowest polymorph of the same formula**: 0 meV/atom
**Magnetization**: 0.0 μB/cell
**Crystal system**: monoclinic
**E_tot**: -5.8998 eV per atom

abc: 3.740 8.323 9.876
angles: 77.54 79.09 77.02
Sites, in units of the cell vectors:
Y 0.843 0.571 0.744
Y 0.157 0.429 0.256
Er 0.159 0.928 0.753
Er 0.841 0.072 0.247
Er 0.416 0.227 0.942
Er 0.584 0.773 0.058
Er 0.584 0.269 0.562
Er 0.416 0.731 0.438
Co 0.233 0.582 0.953
Co 0.767 0.418 0.047
Co 0.767 0.918 0.547
Co 0.233 0.082 0.453



10.
## BaCd2Au (GGA-PBE)

Data for a relaxed structure of BaCd2Au.

**Mass density**: 7.45 Mg/m³
**Energy of formation from the pure elements**: -0.34 eV per atom
**Space-group type**: No. 10
**Volume**: 124.7 Å³ per cell
**Magnetization**: 0.0 μB/cell
**Crystal system**: monoclinic
**E_tot**: -2.0984 eV per atom

abc: 4.983 4.612 5.587
angles: 76.14 90.00 90.00
Sites, in units of the cell vectors:
Au 0.500 0.250 0.250
Ba 0.500 0.750 0.750
Cd 0.000 0.126 0.033
Cd 0.000 0.374 0.467



11.
## SrTaW (GGA-PBE)

Data for a relaxed structure of SrTaW.

**Mass density**: 10.30 Mg/m³
**Energy of formation from the pure elements**: 0.69 eV per atom
**Space-group type**: No. 107
**Volume**: 72.9 Å³ per cell
**Distance to the lowest polymorph of the same formula**: 0 meV/atom
**Magnetization**: 0.0 μB/cell
**Crystal system**: tetragonal
**E_tot**: -8.1383 eV per atom

abc: 6.591 6.591 6.591
angles: 149.64 149.64 43.47
Sites, in units of the cell vectors:
Sr 0.006 0.006 0.000
Ta 0.291 0.291 0.000
W 0.703 0.703 0.000



12.
## Pm2Er7Tm (GGA-PBE)

Data for a relaxed structure of Pm2Er7Tm.

**Mass density**: 8.44 Mg/m³
**Energy of formation from the pure elements**: 0.16 eV per atom
**Space-group type**: No. 65
**Volume**: 320.8 Å³ per cell
**Distance to the lowest polymorph of the same formula**: 135 meV/atom
**Magnetization**: 0.0 μB/cell
**Crystal system**: orthorhombic
**E_tot**: -4.4341 eV per atom

abc: 3.490 14.652 14.652
angles: 154.64 90.00 90.00
Sites, in units of the cell vectors:
Pm 0.500 0.708 0.292
Pm 0.500 0.292 0.708
Er 0.000 0.816 0.184
Er 0.000 0.184 0.816
Er 0.500 0.148 0.343
Er 0.500 0.852 0.657
Er 0.500 0.343 0.148
Er 0.500 0.657 0.852
Er 0.500 0.500 0.500
Tm 0.000 0.000 0.000



13.
## Th4ZnSe2S (GGA-PBE)

Data for a relaxed structure of Th4ZnSe2S.

**Mass density**: 9.39 Mg/m³
**Space-group type**: No. 10
**Volume**: 209.2 Å³ per cell
**Magnetization**: 0.0 μB/cell
**Crystal system**: monoclinic
**E_tot**: -6.4843 eV per atom
**Formation energy without anion corrections**: -1228 meV/atom

abc: 4.202 7.413 7.134
angles: 70.32 90.00 90.00
Sites, in units of the cell vectors:
Th 0.000 0.734 0.761
Th 0.000 0.266 0.239
Th 0.500 0.738 0.248
Th 0.500 0.262 0.752
Zn 0.000 0.500 0.500
Se 0.000 0.000 0.000
Se 0.500 0.000 0.500
S 0.500 0.500 0.000



14.
## SmLuAlCu (GGA-PBE)

Data for a relaxed structure of SmLuAlCu.

**Mass density**: 7.61 Mg/m³
**Energy of formation from the pure elements**: -0.27 eV per atom
**Space-group type**: No. 216
**Volume**: 90.7 Å³ per cell
**Magnetization**: 0.0 μB/cell
**Crystal system**: cubic
**E_tot**: -4.5367 eV per atom

abc: 5.044 5.044 5.044
angles: 60.00 60.00 60.00
Sites, in units of the cell vectors:
Lu 0.750 0.750 0.750
Sm 0.250 0.250 0.250
Cu 0.500 0.500 0.500
Al 0.000 0.000 0.000



15.
## Y2CrCd (GGA-PBE)

Data for a relaxed structure of Y2CrCd.

**Mass density**: 5.80 Mg/m³
**Energy of formation from the pure elements**: 0.17 eV per atom
**Space-group type**: No. 119
**Volume**: 98.0 Å³ per cell
**Magnetization**: 3.3 μB/cell
**Crystal system**: tetragonal
**E_tot**: -5.7013 eV per atom

abc: 5.727 5.727 5.727
angles: 133.21 133.21 68.33
Sites, in units of the cell vectors:
Cd 0.500 0.500 0.000
Cr 0.750 0.250 0.500
Y 0.000 0.000 0.000
Y 0.250 0.750 0.500



16.
## SmMg2Sc (GGA-PBE)

Data for a relaxed structure of SmMg2Sc.

**Mass density**: 3.83 Mg/m³
**Energy of formation from the pure elements**: 0.04 eV per atom
**Space-group type**: No. 166
**Volume**: 105.8 Å³ per cell
**Distance to the lowest polymorph of the same formula**: 110 meV/atom
**Magnetization**: 0.0 μB/cell
**Crystal system**: trigonal
**E_tot**: -3.5169 eV per atom

abc: 3.332 3.332 11.167
angles: 81.42 81.42 60.00
Sites, in units of the cell vectors:
Sc 0.000 0.000 0.000
Mg 0.746 0.746 0.763
Mg 0.254 0.254 0.237
Sm 0.500 0.500 0.500



17.
## Mn2ReOs (GGA-PBE)

Data for a relaxed structure of Mn2ReOs.

**Mass density**: 15.41 Mg/m³
**Energy of formation from the pure elements**: 0.15 eV per atom
**Space-group type**: No. 166
**Volume**: 52.4 Å³ per cell
**Magnetization**: 1.2 μB/cell
**Crystal system**: trigonal
**E_tot**: -10.3586 eV per atom

abc: 8.668 8.668 8.668
angles: 17.67 17.67 17.67
Sites, in units of the cell vectors:
Mn 0.999 0.999 0.999
Mn 0.501 0.501 0.501
Os 0.250 0.250 0.250
Re 0.750 0.750 0.750



18.
## NdTl2BiSe4 (GGA-PBE)

Data for a relaxed structure of NdTl2BiSe4.

**Mass density**: 7.18 Mg/m³
**Space-group type**: No. 10
**Volume**: 249.4 Å³ per cell
**Magnetization**: 0.0 μB/cell
**Crystal system**: monoclinic
**E_tot**: -4.3260 eV per atom
**Formation energy without anion corrections**: -911 meV/atom

abc: 4.319 7.493 8.101
angles: 107.99 90.00 90.00
Sites, in units of the cell vectors:
Nd 0.500 0.500 0.000
Tl 0.500 0.000 0.500
Tl 0.000 0.500 0.500
Bi 0.000 0.000 0.000
Se 0.500 0.238 0.214
Se 0.500 0.762 0.786
Se 0.000 0.263 0.788
Se 0.000 0.737 0.212



19.
## Ba2In6HgBi (GGA-PBE)

Data for a relaxed structure of Ba2In6HgBi.

**Mass density**: 6.52 Mg/m³
**Energy of formation from the pure elements**: -0.16 eV per atom
**Space-group type**: No. 166
**Volume**: 699.0 Å³ per cell
**Magnetization**: 0.0 μB/cell
**Crystal system**: trigonal
**E_tot**: -2.6066 eV per atom

abc: 7.429 7.429 15.242
angles: 75.89 75.89 60.00
Sites, in units of the cell vectors:
Ba 0.888 0.888 0.337
Ba 0.112 0.112 0.663
Ba 0.721 0.721 0.836
Ba 0.279 0.279 0.164
In 0.929 0.333 0.406
In 0.333 0.929 0.406
In 0.333 0.333 0.406
In 0.071 0.667 0.594
In 0.667 0.071 0.594
In 0.667 0.667 0.594
In 0.635 0.226 0.913
In 0.226 0.635 0.913
In 0.226 0.226 0.913
In 0.365 0.774 0.087
In 0.774 0.365 0.087
In 0.774 0.774 0.087
Hg 0.000 0.000 0.000
Hg 0.500 0.500 0.500
Bi 0.575 0.575 0.275
Bi 0.425 0.425 0.725



20.
## SrBeSn2 (GGA-PBE)

Data for a relaxed structure of SrBeSn2.

**Mass density**: 4.52 Mg/m³
**Energy of formation from the pure elements**: 0.01 eV per atom
**Space-group type**: No. 122
**Volume**: 245.7 Å³ per cell
**Magnetization**: 0.0 μB/cell
**Crystal system**: tetragonal
**E_tot**: -3.3408 eV per atom

abc: 5.444 5.444 9.141
angles: 72.68 72.68 90.00
Sites, in units of the cell vectors:
Sr 0.000 0.000 0.000
Sr 0.750 0.250 0.500
Sn 0.477 0.125 0.250
Sn 0.273 0.625 0.250
Sn 0.375 0.523 0.750
Sn 0.875 0.727 0.750
Be 0.500 0.500 0.000
Be 0.250 0.750 0.500



21.
## TbSi2Au2 (GGA-PBE)

Data for a relaxed structure of TbSi2Au2.

**Mass density**: 10.80 Mg/m³
**Space-group type**: No. 139
**Volume**: 93.6 Å³ per cell
**Magnetization**: 0.0 μB/cell
**Crystal system**: tetragonal
**E_tot**: -4.9711 eV per atom
**Formation energy without anion corrections**: -565 meV/atom

abc: 5.953 5.953 5.953
angles: 137.94 137.94 61.00
Sites, in units of the cell vectors:
Tb 0.000 0.000 0.000
Si 0.388 0.388 0.000
Si 0.612 0.612 0.000
Au 0.250 0.750 0.500
Au 0.750 0.250 0.500



22.
## Cd2SnAs2 (GGA-PBE)

Data for a relaxed structure of Cd2SnAs2.

**Mass density**: 7.04 Mg/m³
**Energy of formation from the pure elements**: 0.10 eV per atom
**Space-group type**: No. 127
**Volume**: 232.8 Å³ per cell
**Distance to the lowest polymorph of the same formula**: 0 meV/atom
**Magnetization**: 0.0 μB/cell
**Crystal system**: tetragonal
**E_tot**: -2.9275 eV per atom

abc: 8.470 8.470 3.245
angles: 90.00 90.00 90.00
Sites, in units of the cell vectors:
As 0.327 0.827 0.000
As 0.827 0.673 0.000
As 0.673 0.173 0.000
As 0.173 0.327 0.000
Sn 0.000 0.000 0.000
Sn 0.500 0.500 0.000
Cd 0.129 0.629 0.500
Cd 0.629 0.871 0.500
Cd 0.871 0.371 0.500
Cd 0.371 0.129 0.500



23.
## UPd6Au2 (GGA-PBE)

Data for a relaxed structure of UPd6Au2.

**Mass density**: 13.61 Mg/m³
**Energy of formation from the pure elements**: -0.17 eV per atom
**Space-group type**: No. 162
**Volume**: 155.1 Å³ per cell
**Distance to the lowest polymorph of the same formula**: 0 meV/atom
**Magnetization**: 2.0 μB/cell
**Crystal system**: trigonal
**E_tot**: -5.6112 eV per atom

abc: 2.856 7.917 7.917
angles: 120.00 90.00 90.00
Sites, in units of the cell vectors:
U 0.000 0.000 0.000
Pd 0.221 0.000 0.329
Pd 0.221 0.671 0.671
Pd 0.779 0.000 0.671
Pd 0.779 0.671 0.000
Pd 0.779 0.329 0.329
Pd 0.221 0.329 0.000
Au 0.500 0.667 0.333
Au 0.500 0.333 0.667



24.
## NdLu2Tl (GGA-PBE)

Data for a relaxed structure of NdLu2Tl.

**Mass density**: 10.19 Mg/m³
**Energy of formation from the pure elements**: -0.16 eV per atom
**Space-group type**: No. 123
**Volume**: 113.8 Å³ per cell
**Distance to the lowest polymorph of the same formula**: 6 meV/atom
**Magnetization**: 0.0 μB/cell
**Crystal system**: tetragonal
**E_tot**: -4.2022 eV per atom

abc: 4.792 4.874 4.874
angles: 90.00 90.00 90.00
Sites, in units of the cell vectors:
Tl 0.500 0.000 0.000
Lu 0.000 0.000 0.500
Lu 0.000 0.500 0.000
Nd 0.500 0.500 0.500



25.
## ZnTeAu2 (GGA-PBE)

Data for a relaxed structure of ZnTeAu2.

**Mass density**: 11.69 Mg/m³
**Space-group type**: No. 99
**Volume**: 83.3 Å³ per cell
**Distance to the lowest polymorph of the same formula**: 206 meV/atom
**Magnetization**: 0.0 μB/cell
**Crystal system**: tetragonal
**E_tot**: -2.6127 eV per atom
**Formation energy without anion corrections**: 130 meV/atom

abc: 3.119 3.119 8.569
angles: 90.00 90.00 90.00
Sites, in units of the cell vectors:
Au 0.000 0.000 0.980
Au 0.500 0.500 0.214
Te 0.000 0.000 0.502
Zn 0.500 0.500 0.804